<i>
A plane-wave DFT calculation with GGA-PBE was carried out for an optimized crystal structure of SmMgSe2.

- magnetization (μB per formula unit) = 0.0

a b c (Å): 3.9439 3.9439 20.8595
angles (deg): 90.00 90.00 120.00
Space group R-3m (No. 166, hexagonal axes)
Unique sites:
1 Sm 0.0000 0.0000 0.0000 x3
2 Mg 0.0000 0.0000 0.5000 x3
3 Se 0.0000 0.0000 0.2412 x6

=====

<ii>
A plane-wave DFT calculation with GGA-PBE was carried out for an optimized crystal structure of SmMgSe2.

- magnetization (μB per formula unit) = 0.9

a b c (Å): 3.9506 3.9506 21.0032
angles (deg): 90.00 90.00 120.00
Space group R3m (No. 160, hexagonal axes)
Unique sites:
1 Sm 0.0000 0.0000 0.0000 x3
2 Mg 0.0000 0.0000 0.1678 x3
3 Se 0.0000 0.0000 0.5733 x3
4 Se 0.0000 0.0000 0.7586 x3

=====

Question: which arrangement is favored energetically? Ranking from most to least stable: <ii>, <i>.